No. 1
Computed, not measured: a relaxed structure of BaSrAcTl at the PBE level of DFT.

a b c (Å): 6.256 6.256 6.256
angles (deg): 60.00 60.00 60.00
Element x y z (fractional)
Tl (0.000, 0.000, 0.000)
Ac (0.500, 0.500, 0.500)
Sr (0.750, 0.750, 0.750)
Ba (0.250, 0.250, 0.250)

## Properties
DFT formation energy in eV/atom: 0.043
SG: F-43m, No. 216

No. 2
Computed, not measured: a relaxed structure of Li2SmTl2Cd2 at the PBE level of DFT.

a b c (Å): 4.822 5.007 7.962
angles (deg): 103.74 90.00 118.79
Element x y z (fractional)
Cd (0.580, 0.160, 0.694)
Cd (0.420, 0.840, 0.306)
Sm (0.000, 0.000, 0.000)
Li (0.866, 0.732, 0.566)
Li (0.134, 0.268, 0.434)
Tl (0.718, 0.436, 0.190)
Tl (0.282, 0.564, 0.810)

## Properties
DFT formation energy in eV/atom: -0.251
SG: C2/m, No. 12

No. 3
Computed, not measured: a relaxed structure of CdCoHgH2 at the PBE level of DFT.

a b c (Å): 3.819 5.252 3.819
angles (deg): 90.00 90.00 90.00
Site moments in Bohr magnetons follow the coordinates.
Element x y z (fractional)
H (0.000, 0.000, 0.500)  -0.03
H (0.500, 0.000, 0.000)  -0.02
Hg (0.500, 0.500, 0.500)  0.00
Co (0.000, 0.000, 0.000)  1.33
Cd (0.000, 0.500, 0.000)  -0.02

## Properties
SG: P4/mmm, No. 123
E_tot in eV/cell: -11.8

No. 4
Computed, not measured: a relaxed structure of Be2MoC at the PBE level of DFT.

a b c (Å): 6.060 6.060 4.777
angles (deg): 50.63 50.63 90.00
Element x y z (fractional)
Mo (0.750, 0.250, 0.500)
Mo (0.000, 0.000, 0.000)
Be (0.375, 0.468, 0.750)
Be (0.875, 0.782, 0.750)
Be (0.218, 0.625, 0.250)
Be (0.532, 0.125, 0.250)
C (0.500, 0.500, 0.000)
C (0.250, 0.750, 0.500)

## Properties
DFT formation energy in eV/atom: 0.288
SG: I-42d, No. 122

No. 5
Computed, not measured: a relaxed structure of Ac3Pr6Ho2 at the PBE level of DFT.

a b c (Å): 3.768 3.768 33.662
angles (deg): 86.79 86.79 60.00
Element x y z (fractional)
Pr (0.365, 0.365, 0.906)
Pr (0.635, 0.635, 0.094)
Pr (0.182, 0.182, 0.455)
Pr (0.094, 0.094, 0.718)
Pr (0.818, 0.818, 0.545)
Pr (0.906, 0.906, 0.282)
Ac (0.000, 0.000, 0.000)
Ac (0.729, 0.729, 0.812)
Ac (0.271, 0.271, 0.188)
Ho (0.544, 0.544, 0.368)
Ho (0.456, 0.456, 0.632)

## Properties
DFT formation energy in eV/atom: 0.039
SG: R-3m, No. 166

No. 6
Computed, not measured: a relaxed structure of FeHg2Ir at the PBE level of DFT.

a b c (Å): 7.426 7.426 5.931
angles (deg): 51.24 51.24 90.00
Site moments in Bohr magnetons follow the coordinates.
Element x y z (fractional)
Ir (0.750, 0.250, 0.500)  0.21
Ir (0.000, 0.000, 0.000)  0.20
Fe (0.500, 0.500, 0.000)  3.02
Fe (0.250, 0.750, 0.500)  3.02
Hg (0.132, 0.625, 0.250)  -0.03
Hg (0.375, 0.382, 0.750)  -0.02
Hg (0.618, 0.125, 0.250)  -0.03
Hg (0.875, 0.868, 0.750)  -0.03

## Properties
DFT formation energy in eV/atom: 0.788
SG: I-42d, No. 122

No. 7
Computed, not measured: a relaxed structure of Zn2Se at the PBE level of DFT.

a b c (Å): 5.434 5.434 5.434
angles (deg): 119.75 119.75 90.44
Element x y z (fractional)
Zn (0.165, 0.665, 0.831)
Zn (0.835, 0.335, 0.169)
Zn (0.335, 0.165, 0.500)
Zn (0.665, 0.835, 0.500)
Se (0.250, 0.250, 0.000)
Se (0.750, 0.750, 0.000)

## Properties
E_form (uncorrected) in eV per atom: -0.1091
SG: I4/mcm, No. 140

No. 8
Computed, not measured: a relaxed structure of USb3Pt12 at the PBE level of DFT.

a b c (Å): 4.132 4.132 16.351
angles (deg): 90.00 90.00 90.00
Site moments in Bohr magnetons follow the coordinates.
Element x y z (fractional)
Pt (0.500, 0.000, 0.123)  -0.02
Pt (0.000, 0.500, 0.625)  0.01
Pt (0.500, 0.000, 0.877)  -0.02
Pt (0.500, 0.000, 0.375)  0.01
Pt (0.500, 0.500, 0.249)  0.01
Pt (0.000, 0.500, 0.375)  0.01
Pt (0.500, 0.500, 0.000)  -0.01
Pt (0.500, 0.500, 0.751)  0.01
Pt (0.500, 0.000, 0.625)  0.01
Pt (0.000, 0.500, 0.123)  -0.02
Pt (0.500, 0.500, 0.500)  0.02
Pt (0.000, 0.500, 0.877)  -0.02
Sb (0.000, 0.000, 0.500)  0.00
Sb (0.000, 0.000, 0.256)  0.01
Sb (0.000, 0.000, 0.744)  0.01
U (0.000, 0.000, 0.000)  1.41

## Properties
E_form (uncorrected) in eV per atom: -0.2917
SG: P4/mmm, No. 123

Summary of DOS at the Fermi energy in states/eV/cell
3.2; 2.4; 7.3; 3.2; 16.0; 4.6; 2.0; 17.9
(order as listed above)